The following is a DFT calculation (GGA-PBEsol) of crystalline CaSeO3 at its relaxed geometry.

Cell: 6.3564 8.2961 5.3908 Å, 90.00 90.00 90.00°
With the nearest neighbours (Å) after each atom.
Atoms (fractional coordinates):
1 Ca 0.0000 0.0000 0.0000  6 O 2.33-2.40
2 Ca 0.0000 0.5000 0.0000  6 O 2.33-2.40
3 Ca 0.5000 0.0000 0.5000  6 O 2.33-2.40
4 Ca 0.5000 0.5000 0.5000  6 O 2.33-2.40
5 Se 0.0241 0.2500 0.4846  3 O 1.73
6 Se 0.4759 0.7500 0.9846  3 O 1.73
7 Se 0.5241 0.2500 0.0154  3 O 1.73
8 Se 0.9759 0.7500 0.5154  3 O 1.73
9 O 0.0830 0.2500 0.7971  1 Se 1.73
10 O 0.1713 0.0909 0.3689  1 Se 1.73
11 O 0.1713 0.4091 0.3689  1 Se 1.73
12 O 0.3287 0.5909 0.8689  1 Se 1.73
13 O 0.3287 0.9091 0.8689  1 Se 1.73
14 O 0.4170 0.7500 0.2971  1 Se 1.73
15 O 0.5830 0.2500 0.7029  1 Se 1.73
16 O 0.6713 0.0909 0.1311  1 Se 1.73
17 O 0.6713 0.4091 0.1311  1 Se 1.73
18 O 0.8287 0.5909 0.6311  1 Se 1.73
19 O 0.8287 0.9091 0.6311  1 Se 1.73
20 O 0.9170 0.7500 0.2029  1 Se 1.73

=====

The following is a DFT calculation (GGA-PBEsol) of crystalline CaSe2O5 at its relaxed geometry.

Cell: 6.3902 14.5409 10.2016 Å, 90.00 90.00 90.00°
With the nearest neighbours (Å) after each atom.
Atoms (fractional coordinates):
1 Ca 0.0577 0.0918 0.1413  7 O 2.34-2.48
2 Ca 0.0577 0.4082 0.6413  7 O 2.34-2.48
3 Ca 0.4423 0.5918 0.1413  7 O 2.34-2.48
4 Ca 0.4423 0.9082 0.6413  7 O 2.34-2.48
5 Ca 0.5577 0.0918 0.3587  7 O 2.34-2.48
6 Ca 0.5577 0.4082 0.8587  7 O 2.34-2.48
7 Ca 0.9423 0.5918 0.3587  7 O 2.34-2.48
8 Ca 0.9423 0.9082 0.8587  7 O 2.34-2.48
9 Se 0.1047 0.2306 0.8673  2 O 1.68-1.70
10 Se 0.1047 0.2694 0.3673  2 O 1.68-1.70
11 Se 0.1434 0.0867 0.6230  3 O 1.69-1.84
12 Se 0.1434 0.4133 0.1230  3 O 1.69-1.84
13 Se 0.3566 0.5867 0.6230  3 O 1.69-1.84
14 Se 0.3566 0.9133 0.1230  3 O 1.69-1.84
15 Se 0.3953 0.7306 0.8673  2 O 1.68-1.70
16 Se 0.3953 0.7694 0.3673  2 O 1.68-1.70
17 Se 0.6047 0.2306 0.6327  2 O 1.68-1.70
18 Se 0.6047 0.2694 0.1327  2 O 1.68-1.70
19 Se 0.6434 0.0867 0.8770  3 O 1.69-1.84
20 Se 0.6434 0.4133 0.3770  3 O 1.69-1.84
21 Se 0.8566 0.5867 0.8770  3 O 1.69-1.84
22 Se 0.8566 0.9133 0.3770  3 O 1.69-1.84
23 Se 0.8953 0.7306 0.6327  2 O 1.68-1.70
24 Se 0.8953 0.7694 0.1327  2 O 1.68-1.70
25 O 0.0924 0.5217 0.1748  1 Se 1.69
26 O 0.0924 0.9783 0.6748  1 Se 1.69
27 O 0.1178 0.5661 0.5569  1 Se 1.69
28 O 0.1178 0.9339 0.0569  1 Se 1.69
29 O 0.2139 0.2092 0.0139  1 Se 1.68
30 O 0.2139 0.2908 0.5139  1 Se 1.68
31 O 0.2431 0.1783 0.3091  1 Se 1.70
32 O 0.2431 0.3217 0.8091  1 Se 1.70
33 O 0.2462 0.1360 0.7757  2 Se 1.84-1.89
34 O 0.2462 0.3640 0.2757  2 Se 1.84-1.89
35 O 0.2538 0.6360 0.7757  2 Se 1.84-1.89
36 O 0.2538 0.8640 0.2757  2 Se 1.84-1.89
37 O 0.2569 0.6783 0.3091  1 Se 1.70
38 O 0.2569 0.8217 0.8091  1 Se 1.70
39 O 0.2861 0.7092 0.0139  1 Se 1.68
40 O 0.2861 0.7908 0.5139  1 Se 1.68
41 O 0.3822 0.0661 0.5569  1 Se 1.69
42 O 0.3822 0.4339 0.0569  1 Se 1.69
43 O 0.4076 0.0217 0.1748  1 Se 1.69
44 O 0.4076 0.4783 0.6748  1 Se 1.69
45 O 0.5924 0.5217 0.3252  1 Se 1.69
46 O 0.5924 0.9783 0.8252  1 Se 1.69
47 O 0.6178 0.5661 0.9431  1 Se 1.69
48 O 0.6178 0.9339 0.4431  1 Se 1.69
49 O 0.7139 0.2092 0.4861  1 Se 1.68
50 O 0.7139 0.2908 0.9861  1 Se 1.68
51 O 0.7431 0.1783 0.1909  1 Se 1.70
52 O 0.7431 0.3217 0.6909  1 Se 1.70
53 O 0.7462 0.1360 0.7243  2 Se 1.84-1.89
54 O 0.7462 0.3640 0.2243  2 Se 1.84-1.89
55 O 0.7538 0.6360 0.7243  2 Se 1.84-1.89
56 O 0.7538 0.8640 0.2243  2 Se 1.84-1.89
57 O 0.7569 0.6783 0.1909  1 Se 1.70
58 O 0.7569 0.8217 0.6909  1 Se 1.70
59 O 0.7861 0.7092 0.4861  1 Se 1.68
60 O 0.7861 0.7908 0.9861  1 Se 1.68
61 O 0.8822 0.0661 0.9431  1 Se 1.69
62 O 0.8822 0.4339 0.4431  1 Se 1.69
63 O 0.9076 0.0217 0.3252  1 Se 1.69
64 O 0.9076 0.4783 0.8252  1 Se 1.69

=====

The following is a DFT calculation (GGA-PBEsol) of crystalline CaSeO4 at its relaxed geometry.

Cell: 6.8071 6.8071 6.8071 Å, 136.44 136.44 63.29°
With the nearest neighbours (Å) after each atom.
Atoms (fractional coordinates):
1 Ca 0.3750 0.1250 0.2500  8 O 2.43-2.48
2 Ca 0.6250 0.8750 0.7500  8 O 2.43-2.48
3 Se 0.1250 0.3750 0.7500  4 O 1.67
4 Se 0.8750 0.6250 0.2500  4 O 1.67
5 O 0.0671 0.6955 0.8577  1 Se 1.67
6 O 0.1955 0.8378 0.6284  1 Se 1.67
7 O 0.2906 0.4329 0.1284  1 Se 1.67
8 O 0.3378 0.2094 0.6423  1 Se 1.67
9 O 0.6622 0.7906 0.3577  1 Se 1.67
10 O 0.7094 0.5671 0.8716  1 Se 1.67
11 O 0.8045 0.1622 0.3716  1 Se 1.67
12 O 0.9329 0.3045 0.1423  1 Se 1.67

=====

The following is a DFT calculation (GGA-PBEsol) of crystalline Ca2SiO4 at its relaxed geometry.

Values from the calculation:
**Energy relative to the lowest polymorph listed for this composition**: 61 meV per atom

Cell: 5.6296 5.6296 6.9702 Å, 93.43 93.43 55.11°
With the nearest neighbours (Å) after each atom.
Atoms (fractional coordinates):
1 Ca 0.0000 0.0000 0.0000  6 O 2.23-2.44
2 Ca 0.3474 0.3325 0.8038  2 O 2.17-2.30
3 Ca 0.6675 0.6526 0.1962  2 O 2.17-2.30
4 Ca 0.9545 0.0455 0.5000  4 O 2.32-2.40
5 Si 0.3160 0.3419 0.2881  4 O 1.61-1.66
6 Si 0.6581 0.6840 0.7119  4 O 1.61-1.66
7 O 0.0544 0.6868 0.2520  1 Si 1.66
8 O 0.1995 0.1339 0.2278  1 Si 1.66
9 O 0.3132 0.9456 0.7480  1 Si 1.66
10 O 0.4573 0.2668 0.5031  1 Si 1.61
11 O 0.5616 0.2658 0.1333  1 Si 1.64
12 O 0.7332 0.5427 0.4969  1 Si 1.61
13 O 0.7342 0.4384 0.8667  1 Si 1.64
14 O 0.8661 0.8005 0.7722  1 Si 1.66

=====

The following is a DFT calculation (GGA-PBEsol) of crystalline Ca2SiO4 at its relaxed geometry.

Values from the calculation:
**Energy relative to the lowest polymorph listed for this composition**: 0 meV per atom

Cell: 20.2441 9.2179 5.5142 Å, 90.00 90.00 90.00°
With the nearest neighbours (Å) after each atom.
Atoms (fractional coordinates):
1 Ca 0.0031 0.1995 0.0082  8 O 2.35-2.62
2 Ca 0.0566 0.5596 0.0000  4 O 2.21-2.46
3 Ca 0.1104 0.0755 0.4806  4 O 2.23-2.48
4 Ca 0.1640 0.7038 0.4477  5 O 2.33-2.41
5 Ca 0.1701 0.2906 0.9695  6 O 2.30-2.50
6 Ca 0.2194 0.9252 0.9471  4 O 2.23-2.40
7 Ca 0.2806 0.4252 0.4471  4 O 2.23-2.40
8 Ca 0.3299 0.7906 0.4695  6 O 2.30-2.50
9 Ca 0.3360 0.2038 0.9477  5 O 2.33-2.41
10 Ca 0.3896 0.5755 0.9806  4 O 2.23-2.48
11 Ca 0.4434 0.0596 0.5000  4 O 2.21-2.46
12 Ca 0.4969 0.6995 0.5082  8 O 2.35-2.62
13 Ca 0.5031 0.3005 0.0082  8 O 2.35-2.62
14 Ca 0.5566 0.9404 0.0000  4 O 2.21-2.46
15 Ca 0.6104 0.4245 0.4806  4 O 2.23-2.48
16 Ca 0.6640 0.7962 0.4477  5 O 2.33-2.41
17 Ca 0.6701 0.2094 0.9695  6 O 2.30-2.50
18 Ca 0.7194 0.5748 0.9471  4 O 2.23-2.40
19 Ca 0.7806 0.0748 0.4471  4 O 2.23-2.40
20 Ca 0.8299 0.7094 0.4695  6 O 2.30-2.50
21 Ca 0.8360 0.2962 0.9477  5 O 2.33-2.41
22 Ca 0.8896 0.9245 0.9806  4 O 2.23-2.48
23 Ca 0.9434 0.4404 0.5000  4 O 2.21-2.46
24 Ca 0.9969 0.8005 0.5082  8 O 2.35-2.62
25 Si 0.0719 0.9099 0.9731  4 O 1.63-1.66
26 Si 0.0959 0.4105 0.5035  4 O 1.62-1.66
27 Si 0.2417 0.5792 0.9526  4 O 1.62-1.65
28 Si 0.2583 0.0792 0.4526  4 O 1.62-1.65
29 Si 0.4041 0.9105 0.0035  4 O 1.62-1.66
30 Si 0.4281 0.4099 0.4731  4 O 1.63-1.66
31 Si 0.5719 0.5901 0.9731  4 O 1.63-1.66
32 Si 0.5959 0.0895 0.5035  4 O 1.62-1.66
33 Si 0.7417 0.9208 0.9526  4 O 1.62-1.65
34 Si 0.7583 0.4208 0.4526  4 O 1.62-1.65
35 Si 0.9041 0.5895 0.0035  4 O 1.62-1.66
36 Si 0.9281 0.0901 0.4731  4 O 1.63-1.66
37 O 0.0034 0.0491 0.3957  1 Si 1.63
38 O 0.0498 0.5572 0.5482  1 Si 1.66
39 O 0.0774 0.2928 0.7167  1 Si 1.64
40 O 0.0766 0.3398 0.2406  1 Si 1.64
41 O 0.0768 0.7847 0.1839  1 Si 1.64
42 O 0.1079 0.8533 0.7195  1 Si 1.66
43 O 0.1139 0.0551 0.0555  1 Si 1.65
44 O 0.1652 0.5491 0.0245  1 Si 1.62
45 O 0.1731 0.4549 0.5220  1 Si 1.62
46 O 0.2203 0.1332 0.7021  1 Si 1.65
47 O 0.2199 0.9278 0.3741  1 Si 1.65
48 O 0.2496 0.2046 0.2440  1 Si 1.64
49 O 0.2504 0.7046 0.7440  1 Si 1.64
50 O 0.2801 0.4278 0.8741  1 Si 1.65
51 O 0.2797 0.6332 0.2021  1 Si 1.65
52 O 0.3269 0.9549 0.0220  1 Si 1.62
53 O 0.3348 0.0491 0.5245  1 Si 1.62
54 O 0.3861 0.5551 0.5555  1 Si 1.65
55 O 0.3921 0.3533 0.2195  1 Si 1.66
56 O 0.4232 0.2847 0.6839  1 Si 1.64
57 O 0.4226 0.7928 0.2167  1 Si 1.64
58 O 0.4234 0.8398 0.7406  1 Si 1.64
59 O 0.4502 0.0572 0.0482  1 Si 1.66
60 O 0.4966 0.5491 0.8957  1 Si 1.63
61 O 0.5034 0.4509 0.3957  1 Si 1.63
62 O 0.5498 0.9428 0.5482  1 Si 1.66
63 O 0.5766 0.1602 0.2406  1 Si 1.64
64 O 0.5774 0.2072 0.7167  1 Si 1.64
65 O 0.5768 0.7153 0.1839  1 Si 1.64
66 O 0.6079 0.6467 0.7195  1 Si 1.66
67 O 0.6139 0.4449 0.0555  1 Si 1.65
68 O 0.6652 0.9509 0.0245  1 Si 1.62
69 O 0.6731 0.0451 0.5220  1 Si 1.62
70 O 0.7203 0.3668 0.7021  1 Si 1.65
71 O 0.7199 0.5722 0.3741  1 Si 1.65
72 O 0.7496 0.2954 0.2440  1 Si 1.64
73 O 0.7504 0.7954 0.7440  1 Si 1.64
74 O 0.7801 0.0722 0.8741  1 Si 1.65
75 O 0.7797 0.8668 0.2021  1 Si 1.65
76 O 0.8269 0.5451 0.0220  1 Si 1.62
77 O 0.8348 0.4509 0.5245  1 Si 1.62
78 O 0.8861 0.9449 0.5555  1 Si 1.65
79 O 0.8921 0.1467 0.2195  1 Si 1.66
80 O 0.9232 0.2153 0.6839  1 Si 1.64
81 O 0.9234 0.6602 0.7406  1 Si 1.64
82 O 0.9226 0.7072 0.2167  1 Si 1.64
83 O 0.9502 0.4428 0.0482  1 Si 1.66
84 O 0.9966 0.9509 0.8957  1 Si 1.63

=====

Energy relative to the elements, uncorrected
In order: -1.8945 -1.4861 -1.6643 -3.0276 -3.0881
Unit: eV per atom